a | Pm2Nd6Ho3: relaxed, PBE.

a b c (Å): 6.249 6.249 11.797
angles (deg): 95.12 95.12 120.08
Positions (direct):
Pm1 0.166 0.834 0.000
Pm2 0.834 0.166 0.000
Nd1 0.085 0.416 0.749
Nd2 0.252 0.252 0.251
Nd3 0.416 0.085 0.749
Nd4 0.584 0.915 0.251
Nd5 0.748 0.748 0.749
Nd6 0.915 0.584 0.251
Ho1 0.000 0.000 0.500
Ho2 0.334 0.666 0.500
Ho3 0.666 0.334 0.500

SG = C2/m (12)

=====

b | Pm2Nd6Ho3: relaxed, PBE.

a b c (Å): 17.435 17.435 17.435
angles (deg): 164.21 164.21 22.40
Positions (direct):
Pm1 0.045 0.045 0.000
Pm2 0.955 0.955 0.000
Nd1 0.121 0.621 0.500
Nd2 0.204 0.204 0.000
Nd3 0.379 0.879 0.500
Nd4 0.621 0.121 0.500
Nd5 0.796 0.796 0.000
Nd6 0.879 0.379 0.500
Ho1 0.305 0.305 0.000
Ho2 0.500 0.500 0.000
Ho3 0.695 0.695 0.000

SG = I4/mmm (139)

=====

Verdict on stability: b comes out at the bottom.